An optimized crystal structure of PRuW2O. Source: Alexandria via LeMat-Bulk, functional PBE+U. Values from VASP.

Cell and atoms, written as Quantum ESPRESSO input:
```
&SYSTEM
  ibrav = 0, nat = 5, ntyp = 4
/
ATOMIC_SPECIES
P 30.97 P.upf
Ru 101.07 Ru.upf
W 183.84 W.upf
O 16.00 O.upf
CELL_PARAMETERS angstrom
5.153 0.000 0.000
0.000 5.153 0.000
0.000 0.000 3.684
ATOMIC_POSITIONS crystal
P 0.000 0.000 0.000
Ru 0.500 0.500 0.500
W 0.000 0.500 0.500
W 0.500 0.000 0.500
O 0.500 0.500 0.000
```

## Properties
- Total DFT energy (no corrections): -5.77 eV/atom
- Symmetry: P4/mmm